Density functional theory data (GGA-PBE) for a relaxed structure of Cs4Sm3ErTe8.

Structure (CIF):
```
data_Cs4Sm3ErTe8
_chemical_formula_sum 'Cs12 Sm9 Er3 Te24'
_cell_length_a 9.2099
_cell_length_b 9.2099
_cell_length_c 26.8008
_cell_angle_alpha 90.00
_cell_angle_beta 90.00
_cell_angle_gamma 120.00
_space_group_name_H-M_alt 'R -3 m'
_space_group_IT_number 166
_space_group_name_Hall '-R 3 2"'
loop_
_atom_site_label
_atom_site_type_symbol
_atom_site_fract_x
_atom_site_fract_y
_atom_site_fract_z
Cs1 Cs 0.0000 0.0000 0.0000
Cs2 Cs 0.0000 0.5000 0.0000
Sm1 Sm 0.0000 0.5000 0.5000
Er1 Er 0.0000 0.0000 0.5000
Te1 Te 0.0000 0.0000 0.2313
Te2 Te 0.0059 0.5030 0.2304
```

Results
Uncorrected energy in eV/atom: -4.350
Formation energy from raw total energies in eV per atom: -1.3961
Total magnetization in μB/atom: 0.000